Entry 1:
Density functional theory data (PBE) for a relaxed structure of Nd2AgSe.

The structure in POSCAR format:
```
Nd2AgSe
1.0
-1.518 -2.336 -3.048
2.557 -2.178 -2.402
-0.195 -7.526 3.068
Ag Nd Se
1 2 1
Cartesian
0.499 -10.521 -0.576
-0.059 -6.014 1.842
0.211 -3.012 -0.594
0.420 -6.038 -1.176
```

The energy above the most stable polymorph in this dataset is 167.5 meV per atom. Its crystal system is trigonal. The value obtained for the energy relative to the elements, uncorrected is -0.868 eV per atom.

---

Entry 2:
Density functional theory data (PBE) for a relaxed structure of TbNdOs.

The structure in POSCAR format:
```
TbNdOs
1.0
-3.583 3.260 0.424
-3.132 0.661 -3.661
-4.606 -1.493 0.441
Os Nd Tb
1 1 1
Cartesian
-2.830 0.607 -0.699
-5.660 1.214 -1.397
0.000 0.000 0.000
```

The energy above the most stable polymorph in this dataset is 0.0 meV per atom. Its crystal system is cubic. For the energy of formation, the calculation gives -32 kJ/mol of formula units.

---

Entry 3:
Density functional theory data (PBE) for a relaxed structure of GaRe2Si2.

The structure in POSCAR format:
```
GaRe2Si2
1.0
4.221 0.000 0.000
0.000 4.221 0.000
2.111 2.111 4.633
Re Si Ga
2 2 1
Cartesian
4.221 2.111 2.316
2.111 4.221 2.316
2.110 2.110 1.130
4.221 4.221 3.503
0.000 0.000 0.000
```

The energy above the most stable polymorph in this dataset is 346.5 meV per atom. Its crystal system is tetragonal. The value obtained for the energy relative to the elements, uncorrected is 0.243 eV per atom.

---

Entry 4:
Density functional theory data (PBE) for a relaxed structure of CaWSe.

The structure in POSCAR format:
```
CaWSe
1.0
3.374 0.000 0.000
-1.687 2.922 0.000
0.000 0.000 6.507
W Ca Se
1 1 1
Cartesian
0.000 1.948 4.057
0.000 0.000 0.032
1.687 0.974 2.418
```

The energy above the most stable polymorph in this dataset is 75.5 meV per atom. Its crystal system is trigonal. The value obtained for the energy relative to the elements, uncorrected is 0.078 eV per atom.

---

Entry 5:
Density functional theory data (PBE) for a relaxed structure of MgCo2W.

The structure in POSCAR format:
```
MgCo2W
1.0
2.816 -0.002 0.000
0.003 2.816 0.000
0.000 0.000 6.817
Co Mg W
2 1 1
Cartesian
0.000 0.000 6.733
0.000 0.000 3.493
1.409 1.407 1.704
1.409 1.407 5.113
```

Its crystal system is tetragonal. For the energy of formation, the calculation gives 27 kJ/mol of formula units.

---

Entry 6:
Density functional theory data (PBE) for a relaxed structure of NaCrCdPt2.

The structure in POSCAR format:
```
NaCrCdPt2
1.0
-4.294 -0.828 2.433
-1.412 -2.862 -3.466
2.087 -3.888 2.360
Pt Na Cr Cd
2 1 1 1
Cartesian
-2.147 -0.414 1.216
1.043 -1.944 1.180
-0.706 -1.431 -1.733
-1.809 -3.789 0.664
0.000 0.000 0.000
```

Its crystal system is tetragonal. For the energy of formation, the calculation gives 687 kJ/mol of formula units.

---

Entry 7:
Density functional theory data (PBE) for a relaxed structure of KTl2Rh.

The structure in POSCAR format:
```
KTl2Rh
1.0
-1.590 3.657 9.134
-2.023 0.082 9.759
1.328 1.544 9.756
Tl K Rh
2 1 1
Cartesian
-0.032 0.075 0.405
-0.595 1.376 7.460
-1.112 2.571 13.941
-1.688 3.903 21.166
```

Its crystal system is trigonal. For the energy of formation, the calculation gives 118 kJ/mol of formula units.

---

Entry 8:
Density functional theory data (PBE) for a relaxed structure of TaAu2Se.

The structure in POSCAR format:
```
TaAu2Se
1.0
4.726 -0.007 -0.018
3.611 3.049 -0.018
0.928 0.339 5.284
Se Au Ta
1 2 1
Cartesian
4.822 1.760 2.296
9.126 3.330 5.239
6.846 2.498 4.029
2.370 0.865 1.557
```

Its crystal system is monoclinic. The value obtained for the energy relative to the elements, uncorrected is 0.040 eV per atom.

---

Entry 9:
Density functional theory data (PBE) for a relaxed structure of SrReC2.

The structure in POSCAR format:
```
SrReC2
1.0
5.510 0.000 0.000
0.000 5.510 0.000
2.755 2.755 4.779
C Re Sr
4 2 2
Cartesian
6.158 4.133 1.195
4.133 3.403 3.584
6.888 2.107 3.584
4.862 1.378 1.195
0.000 0.000 0.000
5.510 2.755 2.389
2.755 2.755 0.000
2.755 5.510 2.389
```

The energy above the most stable polymorph in this dataset is 0.0 meV per atom. Its crystal system is tetragonal. For the energy of formation, the calculation gives 123 kJ/mol of formula units.

---

Entry 10:
Density functional theory data (PBE) for a relaxed structure of KRb.

The structure in POSCAR format:
```
KRb
1.0
15.850 0.000 0.000
-7.925 13.727 0.000
0.000 0.000 4.715
Rb K
6 6
Cartesian
7.337 1.963 1.179
-2.557 8.354 3.536
5.957 6.391 1.179
10.482 5.373 1.179
0.588 11.764 3.536
1.969 7.336 3.536
3.087 2.725 3.536
4.838 11.002 1.179
-4.022 12.416 1.179
11.947 1.311 3.536
-0.817 4.036 1.179
8.742 9.691 3.536
```

The energy above the most stable polymorph in this dataset is 39.5 meV per atom. Its crystal system is hexagonal. For the energy of formation, the calculation gives 8 kJ/mol of formula units.

---

Entry 11:
Density functional theory data (PBE) for a relaxed structure of RbPdSe5.

The structure in POSCAR format:
```
RbPdSe5
1.0
4.085 3.305 -7.231
4.007 -5.469 -6.596
-6.702 0.995 5.372
Se Pd Rb
5 1 1
Cartesian
-0.614 -1.748 -2.876
-0.162 0.525 -2.332
-2.885 1.632 0.846
-2.077 -0.599 1.033
1.668 -2.746 -3.492
1.191 1.624 -4.109
2.838 -1.122 -7.614
```

Its crystal system is monoclinic. The value obtained for the energy relative to the elements, uncorrected is -0.240 eV per atom.

---

Entry 12:
Density functional theory data (PBE) for a relaxed structure of BaAl2O8.

The structure in POSCAR format:
```
BaAl2O8
1.0
4.927 -0.391 -0.005
-2.088 7.396 -0.080
-0.561 -2.237 9.006
O Al Ba
16 4 2
Cartesian
-0.678 1.561 4.246
-1.275 5.267 6.357
-0.877 6.651 0.622
1.985 0.399 5.860
2.293 1.369 3.053
-1.197 4.471 1.220
0.294 4.369 3.060
3.553 -0.498 2.564
3.076 -1.464 5.389
1.540 -0.280 8.604
-0.014 3.399 5.867
0.738 5.048 0.316
3.156 -1.883 8.298
2.957 3.207 4.675
-0.797 6.232 3.531
3.475 0.297 7.700
2.156 -1.028 7.040
2.788 -0.001 4.206
-0.509 4.769 4.715
0.122 5.796 1.880
0.033 1.945 1.477
2.245 2.823 7.443
```

Its crystal system is triclinic. The value obtained for the energy relative to the elements, uncorrected is -1.132 eV per atom.

---

no.,D(E_F) (states/eV/atom)
1,0.830
2,0.588
3,0.760
4,0.996
5,1.265
6,1.457
7,0.933
8,0.635
9,0.407
10,0.924
11,0.557
12,0.006